The following is a DFT calculation (PBE) of an optimized crystal structure of NbVNi.

a = 9.1983 Å, b = 4.2278 Å, c = 5.3374 Å
α = 90.00°, β = 124.63°, γ = 90.00°
With the nearest neighbours (Å) after each atom.
Space group Cm (No. 8)
One atom of each set of equivalent atoms:
Nb (0.0000, 0.0000, 0.0000) [2 per cell]  3 V 2.59-2.70, 4 Ni 2.61-2.70, 1 Nb 2.67
Nb (0.1605, 0.5000, 0.8056) [2 per cell]  3 Ni 2.60-2.75, 4 V 2.63-2.69, 1 Nb 2.67
V (0.3264, 0.0000, 0.1739) [2 per cell]  3 Ni 2.55-2.79, 2 V 2.56, 3 Nb 2.59-2.69
V (0.4840, 0.5000, 0.4792) [2 per cell]  2 Ni 2.54-2.68, 2 V 2.56, 4 Nb 2.63-2.70
Ni (0.1671, 0.5000, 0.3257) [2 per cell]  2 V 2.54-2.76, 2 Ni 2.57, 4 Nb 2.60-2.74
Ni (0.3183, 0.0000, 0.6437) [2 per cell]  3 V 2.55-2.79, 2 Ni 2.57, 3 Nb 2.70-2.75

Magnetic moment ... 0.0000 μB/atom
Offset from the most stable computed form ... 15.4 kJ/mol of atoms
E_tot ... -100.2 eV for the cell shown

---

The following is a DFT calculation (PBE) of an optimized crystal structure of NbV2Ni.

a = 6.0698 Å, b = 6.0698 Å, c = 6.0698 Å
α = 90.00°, β = 90.00°, γ = 90.00°
With the nearest neighbours (Å) after each atom.
Space group Fm-3m (No. 225)
One atom of each set of equivalent atoms:
Nb (0.0000, 0.0000, 0.0000) [4 per cell]  8 V 2.63
V (0.2500, 0.2500, 0.2500) [8 per cell]  4 Nb 2.63, 4 Ni 2.63
Ni (0.0000, 0.0000, 0.5000) [4 per cell]  8 V 2.63

Magnetic moment ... 0.0000 μB/atom
Offset from the most stable computed form ... 1.7 kJ/mol of atoms
E_tot ... -136.0 eV for the cell shown

---

The following is a DFT calculation (PBE) of an optimized crystal structure of NbVNi4.

a = 6.7041 Å, b = 6.7041 Å, c = 6.7041 Å
α = 90.00°, β = 90.00°, γ = 90.00°
With the nearest neighbours (Å) after each atom.
Space group F-43m (No. 216)
One atom of each set of equivalent atoms:
Nb (0.0000, 0.0000, 0.0000) [4 per cell]  12 Ni 2.78, 4 V 2.90
V (0.2500, 0.2500, 0.7500) [4 per cell]  12 Ni 2.78, 4 Nb 2.90
Ni (0.1245, 0.1245, 0.3755) [16 per cell]  6 Ni 2.36-2.38

Magnetic moment ... 0.5011 μB/atom
Offset from the most stable computed form ... 7.6 kJ/mol of atoms
E_tot ... -172.9 eV for the cell shown

---

The following is a DFT calculation (PBE) of an optimized crystal structure of NbVNi.

a = 4.0459 Å, b = 12.2404 Å, c = 3.4307 Å
α = 90.00°, β = 90.00°, γ = 90.00°
With the nearest neighbours (Å) after each atom.
Space group Cmcm (No. 63)
One atom of each set of equivalent atoms:
Nb (0.0000, 0.0945, 0.2500) [4 per cell]  4 Ni 2.61-2.74, 4 V 2.65, 2 Nb 2.88
V (0.0000, 0.4117, 0.2500) [4 per cell]  4 Ni 2.58-2.87, 4 Nb 2.65, 2 V 2.76
Ni (0.0000, 0.2547, 0.7500) [4 per cell]  4 V 2.58-2.87, 4 Nb 2.61-2.74, 4 Ni 2.65

Magnetic moment ... 0.0000 μB/atom
Offset from the most stable computed form ... 8.8 kJ/mol of atoms
E_tot ... -101.0 eV for the cell shown